1.
YNi2GeH: single point on PBEsol structure, SCAN.

Properties
* symmetry: P4/mmm
* crystal system: tetragonal
* final energy: -1.2179 Ry/atom

abc: 3.9453 3.9453 4.1671
angles: 90.00 90.00 90.00
Each line ends with the local moment (μB).
Fractional coordinates of all 5 atoms:
Ge 0.0000 0.0000 0.5000  0.06
Ni 0.5000 0.0000 0.0000  0.32
Y 0.5000 0.5000 0.5000  0.00
H 0.0000 0.0000 0.0000  0.00
Ni 0.0000 0.5000 0.0000  0.32

2.
BMoF2: single point on PBEsol structure, SCAN.

Properties
* symmetry: I-42d
* crystal system: tetragonal
* final energy: -0.8532 Ry/atom

abc: 4.6418 5.3723 4.6418
angles: 115.60 90.00 115.60
Each line ends with the local moment (μB).
Fractional coordinates of all 8 atoms:
B 0.5000 0.0000 0.5000  -0.03
F 0.6250 0.7500 0.2685  0.01
B 0.7500 0.5000 0.2500  -0.03
F 0.5185 0.2500 0.3750  0.01
Mo 0.2500 0.5000 0.7500  0.89
F 0.7315 0.2500 0.8750  0.01
F 0.1250 0.7500 0.4815  0.01
Mo 0.0000 0.0000 0.0000  0.89

Q: Among the records above, which one has the highest final energy?
A: BMoF2

Q: Which value of final energy does entry 2 give?
A: -0.8532 Ry/atom